1.
First-principles (PBE) data for CuIr2Os after structural relaxation, as listed in Alexandria. Values from VASP.

Total energy = -7.8683 eV per atom
Space group = Cmm2
Formation enthalpy at 0 K = 0.39 eV/atom
Total magnetic moment = 0.009 μB/f.u.

```
&SYSTEM
  ibrav = 0, nat = 4, ntyp = 3
/
ATOMIC_SPECIES
Ir 192.22 Ir.upf
Os 190.23 Os.upf
Cu 63.55 Cu.upf
ATOMIC_POSITIONS angstrom
Ir 0.6761 1.1669 2.3130
Ir 0.0000 0.0000 9.1156
Os 0.0000 0.0000 4.6279
Cu 0.6761 1.1669 6.8848
CELL_PARAMETERS angstrom
2.6920 -0.0011 0.0000
-1.3398 2.3349 0.0000
0.0000 0.0000 9.1765
```


2.
First-principles (PBE) data for Dy12Tm5Tl2 after structural relaxation, as listed in Alexandria. Values from VASP.

Total energy = -4.3049 eV per atom
Space group = C2/m
Formation enthalpy at 0 K = 0.03 eV/atom
Total magnetic moment = 0.000 μB/f.u.

```
&SYSTEM
  ibrav = 0, nat = 19, ntyp = 3
/
ATOMIC_SPECIES
Dy 162.50 Dy.upf
Tm 168.93 Tm.upf
Tl 204.38 Tl.upf
ATOMIC_POSITIONS angstrom
Dy 2.8996 -5.8973 0.7552
Dy -1.7837 -2.1595 8.1236
Dy 4.4952 -1.7478 5.6575
Dy 5.9130 -5.6532 2.7938
Dy 0.0481 -5.8821 3.0255
Dy -4.7971 -2.4035 6.0850
Dy -0.2456 -2.4277 2.4610
Dy 3.1253 -7.1255 3.9727
Dy -3.3794 -6.3089 3.2213
Dy 1.3614 -5.6291 6.4178
Dy 1.0677 -2.1746 5.8533
Dy -2.0094 -0.9313 4.9061
Tm 4.8827 -5.2323 6.1674
Tm -3.7669 -2.8244 2.7114
Tm 2.5756 -0.2251 3.2364
Tm -1.6968 -4.2052 5.3205
Tm 2.8127 -3.8516 3.5583
Tl -4.9767 0.0264 3.9625
Tl -2.2581 0.0120 1.7979
CELL_PARAMETERS angstrom
-7.2348 0.0384 5.7604
3.1994 -7.6450 -3.3544
5.1513 -0.4502 6.4728
```


Question: The highest total energy belongs to which entry?
Answer: Dy12Tm5Tl2